Entry 1:
11
Lattice="4.940 -0.464 -0.352 -0.597 5.449 -0.234 -0.597 1.242 5.311" Properties=species:S:1:pos:R:3 comment="MgGe2F8 PBE-GGA relaxed" crystal_system=monoclinic sg="C2/m (12)" magnetic_moment_mub_per_fu=0.0 formation_energy_uncorrected_ev_per_atom=-2.38 pbc="T T T"
F 3.089 3.382 -0.218
F 3.692 0.755 0.573
F 0.767 2.861 2.171
F 3.089 0.700 3.316
F 2.980 3.366 2.554
F 0.658 5.527 1.409
F 0.658 2.845 4.944
F 0.055 5.472 4.152
Ge 1.443 4.435 3.365
Ge 2.304 1.792 1.360
Mg 0.000 0.000 0.000


Entry 2:
6
Lattice="6.255 0.000 0.000 0.000 6.255 0.000 -3.127 -3.128 2.961" Properties=species:S:1:pos:R:3 comment="MgGeF4 PBE-GGA relaxed" crystal_system=tetragonal sg="I-4 (82)" magnetic_moment_mub_per_fu=0.0 formation_energy_uncorrected_ev_per_atom=-2.58 pbc="T T T"
Mg 3.127 0.000 1.481
F 4.097 1.328 0.537
F -1.800 -0.969 2.424
F 2.158 4.927 0.537
F 1.800 0.969 2.424
Ge 3.127 3.128 0.000


Entry 3:
8
Lattice="3.562 0.000 0.000 0.000 3.562 0.000 1.781 1.781 11.225" Properties=species:S:1:pos:R:3 comment="MgGe2F PBE-GGA relaxed" crystal_system=tetragonal sg="I-42d (122)" magnetic_moment_mub_per_fu=0.0 formation_energy_uncorrected_ev_per_atom=-0.71 pbc="T T T"
Mg 3.562 1.781 5.612
Mg 0.000 0.000 0.000
Ge 2.671 2.643 8.419
Ge 4.452 4.480 8.419
Ge 2.699 0.890 2.806
Ge 0.862 2.671 2.806
F 1.781 3.562 5.612
F 1.781 1.781 0.000